# 1
ScP4: optimized geometry, GGA-PBE.

```
data_ScP4
_cell_length_a 3.3929
_cell_length_b 3.3929
_cell_length_c 18.5462
_cell_angle_alpha 90.00
_cell_angle_beta 90.00
_cell_angle_gamma 90.00
_symmetry_space_group_name_H-M 'I 4/m m m'
_symmetry_Int_Tables_number 139
_symmetry_space_group_name_Hall '-I 4 2'
loop_
_atom_site_label
_atom_site_type_symbol
_atom_site_fract_x
_atom_site_fract_y
_atom_site_fract_z
Sc1 Sc 0.0000 0.0000 0.0000
P1 P 0.0000 0.0000 0.4402
P2 P 0.0000 0.5000 0.2500
```

* spin magnetization: 0.0 Bohr magnetons per cell
* offset from the most stable computed form: 199.8 meV/atom
* formation energy: -0.154 eV per atom

# 2
Sc4P: optimized geometry, GGA-PBE.

```
data_Sc4P
_cell_length_a 3.6345
_cell_length_b 3.6345
_cell_length_c 17.3019
_cell_angle_alpha 90.00
_cell_angle_beta 90.00
_cell_angle_gamma 90.00
_symmetry_space_group_name_H-M 'I 4/m m m'
_symmetry_Int_Tables_number 139
_symmetry_space_group_name_Hall '-I 4 2'
loop_
_atom_site_label
_atom_site_type_symbol
_atom_site_fract_x
_atom_site_fract_y
_atom_site_fract_z
Sc1 Sc 0.0000 0.0000 0.0830
Sc2 Sc 0.0000 0.5000 0.2500
P1 P 0.0000 0.0000 0.5000
```

* spin magnetization: 0.0 Bohr magnetons per cell
* offset from the most stable computed form: 612.5 meV/atom
* formation energy: 0.138 eV per atom

# 3
Sc3P: optimized geometry, GGA-PBE.

```
data_Sc3P
_cell_length_a 3.4305
_cell_length_b 3.4305
_cell_length_c 6.8980
_cell_angle_alpha 90.00
_cell_angle_beta 90.00
_cell_angle_gamma 90.00
_symmetry_space_group_name_H-M 'P 4/m m m'
_symmetry_Int_Tables_number 123
_symmetry_space_group_name_Hall '-P 4 2'
loop_
_atom_site_label
_atom_site_type_symbol
_atom_site_fract_x
_atom_site_fract_y
_atom_site_fract_z
Sc1 Sc 0.0000 0.0000 0.0000
Sc2 Sc 0.5000 0.5000 0.2967
P1 P 0.0000 0.0000 0.5000
```

* spin magnetization: 0.0 Bohr magnetons per cell
* offset from the most stable computed form: 244.2 meV/atom
* formation energy: -0.565 eV per atom

# 4
ScP2: optimized geometry, GGA-PBE.

```
data_ScP2
_cell_length_a 5.2102
_cell_length_b 6.7380
_cell_length_c 3.5389
_cell_angle_alpha 90.00
_cell_angle_beta 90.00
_cell_angle_gamma 90.00
_symmetry_space_group_name_H-M 'P n n m'
_symmetry_Int_Tables_number 58
_symmetry_space_group_name_Hall '-P 2 2n'
loop_
_atom_site_label
_atom_site_type_symbol
_atom_site_fract_x
_atom_site_fract_y
_atom_site_fract_z
Sc1 Sc 0.0000 0.0000 0.0000
P1 P 0.1403 0.3851 0.0000
```

* spin magnetization: 0.0 Bohr magnetons per cell
* formation energy: -0.601 eV per atom

# 5
Sc3P: optimized geometry, GGA-PBE.

```
data_Sc3P
_cell_length_a 6.0030
_cell_length_b 6.0030
_cell_length_c 9.7157
_cell_angle_alpha 90.00
_cell_angle_beta 90.00
_cell_angle_gamma 120.00
_symmetry_space_group_name_H-M 'P 63/m m c'
_symmetry_Int_Tables_number 194
_symmetry_space_group_name_Hall '-P 6c 2c'
loop_
_atom_site_label
_atom_site_type_symbol
_atom_site_fract_x
_atom_site_fract_y
_atom_site_fract_z
Sc1 Sc 0.0000 0.5000 0.0000
Sc2 Sc 0.1605 0.3210 0.2500
P1 P 0.0000 0.0000 0.0000
P2 P 0.3333 0.6667 0.7500
```

* spin magnetization: 5.3 Bohr magnetons per cell
* offset from the most stable computed form: 357.0 meV/atom
* formation energy: -0.452 eV per atom

# 6
Sc3P: optimized geometry, GGA-PBE.

```
data_Sc3P
_cell_length_a 4.9926
_cell_length_b 4.9926
_cell_length_c 4.9926
_cell_angle_alpha 90.00
_cell_angle_beta 90.00
_cell_angle_gamma 90.00
_symmetry_space_group_name_H-M 'P m -3 m'
_symmetry_Int_Tables_number 221
_symmetry_space_group_name_Hall '-P 4 2 3'
loop_
_atom_site_label
_atom_site_type_symbol
_atom_site_fract_x
_atom_site_fract_y
_atom_site_fract_z
Sc1 Sc 0.0000 0.0000 0.5000
P1 P 0.0000 0.0000 0.0000
```

* spin magnetization: 2.8 Bohr magnetons per cell
* offset from the most stable computed form: 801.4 meV/atom
* formation energy: -0.007 eV per atom